Computed, not measured: a relaxed Ge2IrCSe crystal at the PBE level of DFT.

a b c (Å): 5.0384 5.0384 3.6135
angles (deg): 90.00 90.00 90.00
Last column: nearest neighbours and their distance in Å.
Space group P4/mmm (No. 123)
Symmetry-distinct sites (fractional):
Ge  0.0000  0.5000  0.0000 x2  2 Se 2.52
Ir  0.0000  0.0000  0.5000 x1  8 Ge 3.10
C  0.5000  0.5000  0.5000 x1  2 Se 1.81
Se  0.5000  0.5000  0.0000 x1  2 C 1.81

Energy above the lowest structure with this stoichiometry ... 0.000 kcal/mol of atoms
E_form (uncorrected) ... 167.8 kJ/mol of atoms